This record from the Alexandria database describes a relaxed ErNbOs2 crystal. The functional is GGA-PBE.

## Properties
ΔE_f in eV per atom: -0.207
Final energy in eV per cell: -151.68
Spin magnetization in μB/cell: 0.00
Volume in Å³ per atom: 17.5
Density of states at the Fermi level in states/eV per atom: 0.376
Crystal system: cubic

```
data_ErNbOs2
_chemical_formula_sum 'Er4 Nb4 Os8'
_cell_length_a 6.541
_cell_length_b 6.541
_cell_length_c 6.541
_cell_angle_alpha 90.00
_cell_angle_beta 90.00
_cell_angle_gamma 90.00
_space_group_name_H-M_alt 'F m -3 m'
_space_group_IT_number 225
_space_group_name_Hall '-F 4 2 3'
loop_
_atom_site_label
_atom_site_fract_x
_atom_site_fract_y
_atom_site_fract_z
_atom_site_occupancy
Er1 0.000 0.000 0.000 1
Nb1 0.000 0.000 0.500 1
Os1 0.250 0.250 0.250 1
```